{"formula": "TlCu4Sb3O12", "functional": "PBE", "state": "relaxed", "formation_energy_uncorrected_ev_per_atom": -0.897, "m_tot_mub_per_atom": 0.130, "cell": [[-1.165, -3.739, 5.640], [6.414, 2.404, 0.473], [-4.204, 5.422, 0.280]], "species": ["Cu", "O", "Sb", "Sb", "O", "O", "Tl", "O", "O", "O", "O", "O", "Cu", "O", "O", "Cu", "Sb", "O", "O", "Cu"], "frac_coords": [[0.500, 0.500, 0.500], [0.500, 0.096, 0.904], [0.000, 0.569, 0.431], [0.569, 0.431, 0.000], [0.328, 0.672, 0.500], [0.347, 0.984, 0.257], [0.000, 0.000, 0.000], [0.672, 0.500, 0.328], [0.743, 0.016, 0.653], [0.257, 0.347, 0.984], [0.096, 0.904, 0.500], [0.904, 0.500, 0.096], [0.915, 0.085, 0.500], [0.653, 0.743, 0.016], [0.984, 0.257, 0.347], [0.500, 0.915, 0.085], [0.431, 0.000, 0.569], [0.500, 0.328, 0.672], [0.016, 0.653, 0.743], [0.085, 0.500, 0.915]]}

---

{"formula": "UCuSbO", "functional": "PBE", "state": "relaxed", "formation_energy_uncorrected_ev_per_atom": -1.329, "m_tot_mub_per_atom": 0.530, "cell": [[-2.629, -2.802, -0.996], [2.588, -2.811, 1.077], [-3.347, 0.146, 8.425]], "species": ["U", "U", "O", "Sb", "Sb", "O", "Cu", "Cu"], "frac_coords": [[0.000, 0.500, 0.364], [0.500, 0.000, 0.636], [0.000, 0.000, 0.500], [0.000, 0.500, 0.811], [0.500, 0.000, 0.189], [0.500, 0.500, 0.500], [0.000, 0.000, 0.000], [0.500, 0.500, 0.000]]}

---

{"formula": "UCuSb2O8", "functional": "PBE", "state": "relaxed", "formation_energy_uncorrected_ev_per_atom": -1.734, "m_tot_mub_per_atom": 0.066, "cell": [[-0.840, -3.418, 3.610], [4.914, -0.385, 1.054], [-0.545, 4.592, 4.221]], "species": ["Cu", "O", "U", "O", "O", "O", "O", "O", "O", "O", "Sb", "Sb"], "frac_coords": [[0.000, 0.000, 0.500], [0.791, 0.209, 0.760], [0.000, 0.000, 0.000], [0.682, 0.683, 0.000], [0.209, 0.791, 0.760], [0.209, 0.791, 0.240], [0.315, 0.314, 0.500], [0.318, 0.317, 0.000], [0.791, 0.209, 0.240], [0.685, 0.686, 0.500], [0.500, 0.500, 0.742], [0.500, 0.500, 0.258]]}